Entry 1:
Entry from the Alexandria database: crystalline SmDy2Te4 at its relaxed geometry (PBE-GGA).

Summary:
Uncorrected energy in eV/atom: -5.1782
M_tot in μB/f.u.: 0.0
Density in kg/m³: 6706
Symmetry: C2/m, No. 12

Lattice parameters (Å, degrees): 8.5415 8.5415 7.5900 116.00 116.00 29.64
With the nearest neighbours (Å) after each atom.
Sites, in units of the cell vectors:
Sm  0.0000  0.0000  0.0000  6 Te 3.13-3.17
Dy  0.2554  0.2554  0.2686  6 Te 3.05-3.15
Dy  0.7446  0.7446  0.7314  6 Te 3.05-3.15
Te  0.1239  0.1239  0.4570  3 Dy 3.05-3.10, 1 Sm 3.13
Te  0.3681  0.3681  0.0307  3 Dy 3.13-3.15, 2 Sm 3.17
Te  0.6319  0.6319  0.9693  3 Dy 3.13-3.15, 2 Sm 3.17
Te  0.8761  0.8761  0.5430  3 Dy 3.05-3.10, 1 Sm 3.13



Entry 2:
Entry from the Alexandria database: crystalline Sm3Dy2Te8 at its relaxed geometry (PBE-GGA).

Summary:
Uncorrected energy in eV/atom: -4.9827
M_tot in μB/f.u.: 0.0
Density in kg/m³: 6105
Symmetry: C2/m, No. 12

Lattice parameters (Å, degrees): 8.8934 8.8934 7.5879 106.25 106.25 59.33
With the nearest neighbours (Å) after each atom.
Sites, in units of the cell vectors:
Sm  0.0000  0.0000  0.0000  6 Te 3.11-3.14
Sm  0.2585  0.7415  0.5000  6 Te 3.08-3.16
Sm  0.7415  0.2585  0.5000  6 Te 3.08-3.16
Dy  0.2501  0.2501  0.8324  6 Te 3.04-3.15
Dy  0.7499  0.7499  0.1676  6 Te 3.04-3.15
Te  0.1237  0.1237  0.4197  1 Dy 3.11, 3 Sm 3.14-3.16
Te  0.1238  0.6272  0.0848  2 Sm 3.11-3.12, 2 Dy 3.12-3.15
Te  0.3728  0.8762  0.9152  2 Sm 3.11-3.12, 2 Dy 3.12-3.15
Te  0.3816  0.3816  0.6083  1 Dy 3.04, 2 Sm 3.08
Te  0.6184  0.6184  0.3916  1 Dy 3.04, 2 Sm 3.08
Te  0.6272  0.1238  0.0848  2 Sm 3.11-3.12, 2 Dy 3.12-3.15
Te  0.8762  0.3728  0.9152  2 Sm 3.11-3.12, 2 Dy 3.12-3.15
Te  0.8763  0.8763  0.5803  1 Dy 3.11, 3 Sm 3.14-3.16



Entry 3:
Entry from the Alexandria database: crystalline Sm5Dy3Te8 at its relaxed geometry (PBE-GGA).

Summary:
Uncorrected energy in eV/atom: -5.2489
M_tot in μB/f.u.: 0.0
Density in kg/m³: 7728
Symmetry: R-3m, No. 166

Lattice parameters (Å, degrees): 8.8473 8.8473 8.8473 59.63 59.63 59.63
With the nearest neighbours (Å) after each atom.
Sites, in units of the cell vectors:
Sm  0.0000  0.0000  0.0000  6 Te 3.12
Sm  0.0000  0.5000  0.5000  6 Te 3.15
Sm  0.5000  0.0000  0.5000  6 Te 3.15
Sm  0.5000  0.5000  0.0000  6 Te 3.15
Sm  0.5000  0.5000  0.5000  6 Te 3.12
Dy  0.0000  0.0000  0.5000  6 Te 3.09
Dy  0.0000  0.5000  0.0000  6 Te 3.09
Dy  0.5000  0.0000  0.0000  6 Te 3.09
Te  0.2446  0.7500  0.7500  2 Dy 3.09, 4 Sm 3.12-3.15
Te  0.2473  0.2473  0.2473  3 Dy 3.09, 3 Sm 3.15
Te  0.2500  0.2500  0.7554  2 Dy 3.09, 4 Sm 3.12-3.15
Te  0.2500  0.7554  0.2500  2 Dy 3.09, 4 Sm 3.12-3.15
Te  0.7500  0.2446  0.7500  2 Dy 3.09, 4 Sm 3.12-3.15
Te  0.7500  0.7500  0.2446  2 Dy 3.09, 4 Sm 3.12-3.15
Te  0.7527  0.7527  0.7527  3 Dy 3.09, 3 Sm 3.15
Te  0.7554  0.2500  0.2500  2 Dy 3.09, 4 Sm 3.12-3.15



Entry 4:
Entry from the Alexandria database: crystalline SmDyTe at its relaxed geometry (PBE-GGA).

Summary:
Uncorrected energy in eV/atom: -4.8173
M_tot in μB/f.u.: 0.0
Density in kg/m³: 7906
Symmetry: C2/m, No. 12

Lattice parameters (Å, degrees): 6.1715 6.1715 8.7577 109.56 109.56 36.35
With the nearest neighbours (Å) after each atom.
Sites, in units of the cell vectors:
Sm  0.1704  0.1704  0.1440  4 Te 3.13-3.41, 1 Dy 3.46
Sm  0.8296  0.8296  0.8560  4 Te 3.13-3.41, 1 Dy 3.46
Dy  0.3786  0.3786  0.5382  3 Dy 3.15-3.44, 4 Te 3.20-3.40, 1 Sm 3.46
Dy  0.6214  0.6214  0.4618  3 Dy 3.15-3.44, 4 Te 3.20-3.40, 1 Sm 3.46
Te  0.0883  0.0883  0.7629  4 Sm 3.13-3.41, 4 Dy 3.20-3.40
Te  0.9117  0.9117  0.2371  4 Sm 3.13-3.41, 4 Dy 3.20-3.40



Entry 5:
Entry from the Alexandria database: crystalline Sm2DyTe at its relaxed geometry (PBE-GGA).

Summary:
Uncorrected energy in eV/atom: -4.8210
M_tot in μB/f.u.: 0.0
Density in kg/m³: 7368
Symmetry: R-3m, No. 166

Lattice parameters (Å, degrees): 10.3122 10.3122 10.3122 21.85 21.85 21.85
With the nearest neighbours (Å) after each atom.
Sites, in units of the cell vectors:
Sm  0.2390  0.2390  0.2390  3 Te 3.14
Sm  0.7610  0.7610  0.7610  3 Te 3.14
Dy  0.0000  0.0000  0.0000  6 Sm 3.63, 6 Dy 3.91
Te  0.5000  0.5000  0.5000  6 Sm 3.14



Entry 6:
Entry from the Alexandria database: crystalline SmDyTe at its relaxed geometry (PBE-GGA).

Summary:
Uncorrected energy in eV/atom: -4.9338
M_tot in μB/f.u.: 0.0
Density in kg/m³: 8193
Symmetry: I4mm, No. 107

Lattice parameters (Å, degrees): 6.4672 6.4672 6.4672 144.83 144.83 50.58
With the nearest neighbours (Å) after each atom.
Sites, in units of the cell vectors:
Sm  0.0000  0.0000  0.0000  4 Te 3.35, 5 Dy 3.55-3.62
Dy  0.3092  0.3092  0.0000  4 Te 3.25, 5 Sm 3.55-3.62
Te  0.6624  0.6624  0.0000  4 Dy 3.25, 4 Sm 3.35



Entry 7:
Entry from the Alexandria database: crystalline SmDy5Te4 at its relaxed geometry (PBE-GGA).

Summary:
Uncorrected energy in eV/atom: -4.9408
M_tot in μB/f.u.: 0.0
Density in kg/m³: 7667
Symmetry: C2/m, No. 12

Lattice parameters (Å, degrees): 9.3940 9.3940 8.5336 102.49 102.49 25.75
With the nearest neighbours (Å) after each atom.
Sites, in units of the cell vectors:
Sm  0.0000  0.0000  0.0000  6 Te 3.03-3.05
Dy  0.0000  0.0000  0.5000  4 Te 2.97
Dy  0.3103  0.3103  0.6431  3 Te 3.14-3.20
Dy  0.3387  0.3387  0.2117  4 Te 3.05-3.15
Dy  0.6613  0.6613  0.7883  4 Te 3.05-3.15
Dy  0.6897  0.6897  0.3569  3 Te 3.14-3.20
Te  0.1705  0.1705  0.0678  1 Sm 3.05, 5 Dy 3.05-3.20
Te  0.4861  0.4861  0.7380  4 Dy 2.97-3.14, 2 Sm 3.03
Te  0.5139  0.5139  0.2620  4 Dy 2.97-3.14, 2 Sm 3.03
Te  0.8295  0.8295  0.9322  1 Sm 3.05, 5 Dy 3.05-3.20



Entry 8:
Entry from the Alexandria database: crystalline Sm4DyTe2 at its relaxed geometry (PBE-GGA).

Summary:
Uncorrected energy in eV/atom: -4.8083
M_tot in μB/f.u.: 0.0
Density in kg/m³: 7169
Symmetry: R-3m, No. 166

Lattice parameters (Å, degrees): 9.5138 9.5138 9.5138 33.69 33.69 33.69
With the nearest neighbours (Å) after each atom.
Sites, in units of the cell vectors:
Sm  0.1332  0.1332  0.1332  3 Dy 3.31, 7 Sm 3.61-3.66
Sm  0.2672  0.2672  0.2672  4 Te 3.18-3.21
Sm  0.7328  0.7328  0.7328  4 Te 3.18-3.21
Sm  0.8668  0.8668  0.8668  3 Dy 3.31, 7 Sm 3.61-3.66
Dy  0.5000  0.5000  0.5000  2 Te 3.09, 6 Sm 3.31
Te  0.3853  0.3853  0.3853  1 Dy 3.09, 4 Sm 3.18-3.21
Te  0.6147  0.6147  0.6147  1 Dy 3.09, 4 Sm 3.18-3.21



N(E_F) values, unit states/eV/f.u., following the record order: 3.094, 6.775, 11.997, 3.926, 4.241, 2.408, 8.551, 6.360.
Formation energy from raw total energies values, unit eV/atom, following the record order: -1.39, -1.25, -1.34, -0.66, -0.53, -0.78, -0.91, -0.56.